# PBE+U CuNiSO, relaxed
# Final energy = -33.72 eV per cell
# Calculated volume = 118 Å³/cell
data_CuNiSO
_space_group_name_H-M_alt 'P 1'
_space_group_IT_number 1
_space_group_name_Hall 'P 1'
_cell_length_a 4.3964
_cell_length_b 4.9131
_cell_length_c 6.0477
_cell_angle_alpha 101.71
_cell_angle_beta 109.71
_cell_angle_gamma 96.66
loop_
_atom_site_label
_atom_site_fract_x
_atom_site_fract_y
_atom_site_fract_z
Cu1 0.0000 0.0000 0.0000
Cu2 0.2162 0.6074 0.3736
Ni1 0.4694 0.3635 0.8526
Ni2 0.7748 0.1420 0.3724
S1 0.3827 0.7725 0.1122
S2 0.6179 0.9599 0.6356
O1 0.1211 0.4308 0.5983
O2 0.8418 0.3225 0.1264